# 1
The following is a PBEsol calculation of NiAgOs2 after structural relaxation, from the Alexandria database.

```
NiAgOs2
1.0
2.721 0.000 0.000
0.000 3.737 0.000
0.000 0.000 5.430
Ni Ag Os
1 1 2
Direct
0.000 0.000 0.000
0.500 0.500 0.762
0.000 0.000 0.467
0.500 0.500 0.255
```

E = -0.597 Ry per atom
Formation energy = 357.9 meV per atom
M_tot = 0.0 Bohr magnetons per cell



# 2
The following is a PBEsol calculation of TcN2Cl after structural relaxation, from the Alexandria database.

```
TcN2Cl
1.0
0.000 4.112 4.112
4.112 0.000 4.112
4.112 4.112 0.000
Tc N Cl
2 4 2
Direct
0.125 0.125 0.125
0.875 0.875 0.875
0.000 0.000 0.000
0.000 0.000 0.500
0.000 0.500 0.000
0.500 0.000 0.000
0.375 0.375 0.375
0.625 0.625 0.625
```

E = -0.537 Ry per atom
E_form (uncorrected) = 0.27 eV/atom
M_tot = 0.0 Bohr magnetons per cell



# 3
The following is a PBEsol calculation of BTePtN2 after structural relaxation, from the Alexandria database.

```
BTePtN2
1.0
3.639 0.000 0.000
0.000 3.639 0.000
0.000 0.000 8.032
B Te Pt N
1 1 1 2
Direct
0.000 0.000 0.000
0.500 0.500 0.000
0.500 0.500 0.500
0.000 0.500 0.500
0.500 0.000 0.500
```

E = -0.395 Ry per atom
E_form (uncorrected) = 1.53 eV/atom
M_tot = 0.0 Bohr magnetons per cell



# 4
The following is a PBEsol calculation of GdMg3 after structural relaxation, from the Alexandria database.

```
GdMg3
1.0
0.000 3.632 3.632
3.632 0.000 3.632
3.632 3.632 0.000
Gd Mg
1 3
Direct
0.000 0.000 0.000
0.250 0.250 0.250
0.500 0.500 0.500
0.750 0.750 0.750
```

E = -0.367 Ry per atom
Formation energy = -90.8 meV per atom
M_tot = 7.2 Bohr magnetons per cell